1.
Tc2NiAs | PBE | relaxed

abc: 8.433 8.433 8.433
angles: 19.16 19.16 19.16
Atoms (fractional coordinates):
Tc1 0.000 0.000 0.000
Tc2 0.249 0.249 0.249
Ni1 0.496 0.496 0.496
As1 0.754 0.754 0.754

Computed properties:
ρ ... 9.690 g/cm3
Energy above the lowest structure with this stoichiometry ... 2.61 kcal/mol of atoms
Energy of formation from the pure elements ... 0.36 eV per formula unit
M_tot ... 0.00 μB per formula unit


2.
TcNiAs2 | PBE | relaxed

abc: 4.630 4.630 4.370
angles: 102.70 102.70 40.39
Atoms (fractional coordinates):
Tc1 0.000 0.000 0.000
Ni1 0.219 0.219 0.619
As1 0.484 0.484 0.534
As2 0.727 0.727 0.113

Computed properties:
ρ ... 8.627 g/cm3
Energy above the lowest structure with this stoichiometry ... 0.94 kcal/mol of atoms
Energy of formation from the pure elements ... -0.28 eV per formula unit
M_tot ... 0.00 μB per formula unit


3.
TcNi2As | PBE | relaxed

abc: 2.687 2.687 7.300
angles: 90.00 90.00 90.00
Atoms (fractional coordinates):
Tc1 0.000 0.000 0.000
Ni1 0.500 0.500 0.247
Ni2 0.500 0.500 0.753
As1 0.000 0.000 0.500

Computed properties:
ρ ... 9.149 g/cm3
Energy above the lowest structure with this stoichiometry ... 2.16 kcal/mol of atoms
Energy of formation from the pure elements ... 0.33 eV per formula unit
M_tot ... 0.00 μB per formula unit


4.
Tc2NiAs | PBE | relaxed

abc: 2.933 2.933 6.430
angles: 90.00 90.00 90.00
Atoms (fractional coordinates):
Tc1 0.000 0.000 0.000
Tc2 0.500 0.500 0.256
Ni1 0.500 0.500 0.722
As1 0.000 0.000 0.523

Computed properties:
ρ ... 9.897 g/cm3
Energy above the lowest structure with this stoichiometry ... 1.16 kcal/mol of atoms
Energy of formation from the pure elements ... 0.11 eV per formula unit
M_tot ... 0.00 μB per formula unit